Entry from the Alexandria database: an optimized crystal structure of CsHfS3 (GGA-PBE).

Lattice parameters (Å, degrees): 4.4700 19.2403 6.4746 90.00 90.00 90.00
Last column: nearest neighbours and their distance in Å.
Space group Cmcm (No. 63)
Symmetry-distinct sites (fractional):
1 Cs 0.0000 0.1711 0.2500 (multiplicity 4)  8 S 3.42-3.68
2 Hf 0.0000 0.4653 0.2500 (multiplicity 4)  2 S 2.50
3 S 0.0000 0.0000 0.0000 (multiplicity 4)  4 Hf 2.84
4 S 0.2296 0.1485 0.7500 (multiplicity 8)  1 S 2.05



Entry from the Alexandria database: an optimized crystal structure of CeRh (GGA-PBE).

**Calculated formation energy**: -0.69 eV per atom

Lattice parameters (Å, degrees): 5.6707 5.6707 5.6707 90.00 90.00 90.00
Last column: nearest neighbours and their distance in Å.
Space group Fm-3m (No. 225)
Symmetry-distinct sites (fractional):
1 Ce 0.0000 0.0000 0.0000 (multiplicity 4)  6 Rh 2.84
2 Rh 0.0000 0.0000 0.5000 (multiplicity 4)  6 Ce 2.84



Entry from the Alexandria database: an optimized crystal structure of Tb2TmAlO (GGA-PBE).

Lattice parameters (Å, degrees): 4.7699 4.7699 4.6179 90.00 90.00 90.00
Last column: nearest neighbours and their distance in Å.
Space group P4/mmm (No. 123)
Symmetry-distinct sites (fractional):
1 Tb 0.0000 0.5000 0.0000 (multiplicity 2)  2 O 2.38
2 Tm 0.0000 0.0000 0.5000 (multiplicity 1)  2 O 2.31
3 Al 0.5000 0.5000 0.5000 (multiplicity 1)  8 Tb 3.32, 4 Tm 3.37
4 O 0.0000 0.0000 0.0000 (multiplicity 1)  2 Tm 2.31, 4 Tb 2.38



Entry from the Alexandria database: an optimized crystal structure of TiCuNi2 (GGA-PBE).

**Calculated formation energy**: -0.29 eV per atom

Lattice parameters (Å, degrees): 3.0744 3.0744 5.2419 90.00 90.00 90.00
Last column: nearest neighbours and their distance in Å.
Space group P4/mmm (No. 123)
Symmetry-distinct sites (fractional):
1 Ti 0.0000 0.0000 0.0000 (multiplicity 1)  8 Ni 2.55, 2 Cu 2.62
2 Cu 0.0000 0.0000 0.5000 (multiplicity 1)  8 Ni 2.52, 2 Ti 2.62
3 Ni 0.5000 0.5000 0.2552 (multiplicity 2)  4 Cu 2.52, 4 Ti 2.55, 2 Ni 2.57-2.68



Sequential M_tot output: 0.00 0.00 0.00 0.00 μB/cell
Sequential total DFT energy (no corrections) output: -5.4236 -7.3365 -5.8550 -6.1772 eV/atom